Entry 1:
A plane-wave DFT calculation with PBEsol was carried out for a relaxed structure of MnAsSe.

Structure (POSCAR):
```
MnAsSe
1.0
2.8376 0.0000 0.0000
0.0000 2.8376 0.0000
-1.4188 -1.4188 6.2355
As Mn Se
1 1 1
direct
0.0432 0.0432 0.0865
0.6727 0.6727 0.3455
0.2840 0.2840 0.5680
```

magnetization	0.00	μB per cell
ΔE_f (raw)	-84	meV per atom
VASP energy	-6.323	eV per atom

=====

Entry 2:
A plane-wave DFT calculation with PBEsol was carried out for a relaxed structure of MnSnAs2Se.

Structure (POSCAR):
```
MnSnAs2Se
1.0
-4.1290 -1.3171 1.0813
1.6066 -2.0637 3.6211
-0.6736 4.4295 2.8233
As Mn Sn Se
2 1 1 1
direct
0.0000 0.5000 0.0000
0.5000 0.0000 0.0000
0.0000 0.0000 0.0000
0.5000 0.5000 0.5000
0.0000 0.0000 0.5000
```

magnetization	1.50	μB per cell
ΔE_f (raw)	214	meV per atom
VASP energy	-5.403	eV per atom

=====

Entry 3:
A plane-wave DFT calculation with PBEsol was carried out for a relaxed structure of MnTeAsSe2.

Structure (POSCAR):
```
MnTeAsSe2
1.0
-4.6061 0.1633 -0.8276
0.5464 -2.9226 -3.6177
-0.6445 -3.6655 2.8638
Mn As Te Se
1 1 1 2
direct
0.0000 0.0000 0.0000
0.0000 0.0000 0.5000
0.5000 0.5000 0.5000
0.0000 0.5000 0.0000
0.5000 0.0000 0.0000
```

magnetization	2.31	μB per cell
ΔE_f (raw)	251	meV per atom
VASP energy	-4.968	eV per atom

=====

Entry 4:
A plane-wave DFT calculation with PBEsol was carried out for a relaxed structure of MnTlAsSe2.

Structure (POSCAR):
```
MnTlAsSe2
1.0
5.1528 0.0000 0.0000
0.0000 5.2778 0.0000
0.0000 0.0000 5.2778
Tl Mn As Se
1 1 1 2
direct
0.0000 0.0000 0.0000
0.5000 0.5000 0.5000
0.5000 0.0000 0.0000
0.0000 0.0000 0.5000
0.0000 0.5000 0.0000
```

magnetization	4.22	μB per cell
ΔE_f (raw)	1119	meV per atom
VASP energy	-3.921	eV per atom

=====

Entry 5:
A plane-wave DFT calculation with PBEsol was carried out for a relaxed structure of MnTlAs2Se.

Structure (POSCAR):
```
MnTlAs2Se
1.0
-1.1940 -4.8448 -1.4463
0.4824 -1.5885 4.9227
-5.1106 1.0124 0.8275
Tl Mn As Se
1 1 2 1
direct
0.0000 0.0000 0.0000
0.5000 0.5000 0.5000
0.0000 0.5000 0.0000
0.5000 0.0000 0.0000
0.0000 0.0000 0.5000
```

magnetization	4.02	μB per cell
ΔE_f (raw)	1310	meV per atom
VASP energy	-3.981	eV per atom

=====

Entry 6:
A plane-wave DFT calculation with PBEsol was carried out for a relaxed structure of ZrMnAsSe2.

Structure (POSCAR):
```
ZrMnAsSe2
1.0
-4.3704 -0.3492 -2.5649
1.5003 -4.4433 -1.9514
-2.1558 -2.4900 4.0124
As Mn Se Zr
1 1 2 1
direct
0.0000 0.0000 0.5000
0.5000 0.5000 0.5000
0.0000 0.5000 0.0000
0.5000 0.0000 0.0000
0.0000 0.0000 0.0000
```

magnetization	4.90	μB per cell
ΔE_f (raw)	179	meV per atom
VASP energy	-6.153	eV per atom

=====

Entry 7:
A plane-wave DFT calculation with PBEsol was carried out for a relaxed structure of MnSiAs3.

Structure (POSCAR):
```
MnSiAs3
1.0
4.5179 0.0000 0.0000
0.0000 4.5179 0.0000
0.0000 0.0000 4.5179
As Mn Si
3 1 1
direct
0.0000 0.5000 0.0000
0.0000 0.0000 0.5000
0.5000 0.0000 0.0000
0.0000 0.0000 0.0000
0.5000 0.5000 0.5000
```

magnetization	0.00	μB per cell
ΔE_f (raw)	591	meV per atom
VASP energy	-5.574	eV per atom

=====

Entry 8:
A plane-wave DFT calculation with PBEsol was carried out for a relaxed structure of Mn3SnAs.

Structure (POSCAR):
```
Mn3SnAs
1.0
4.5457 0.0000 0.0000
0.0000 4.5457 0.0000
0.0000 0.0000 4.5457
As Mn Sn
1 3 1
direct
0.0000 0.0000 0.0000
0.0000 0.5000 0.0000
0.0000 0.0000 0.5000
0.5000 0.0000 0.0000
0.5000 0.5000 0.5000
```

magnetization	10.23	μB per cell
VASP energy	-7.183	eV per atom
formation energy from the elements	0.5467	eV per atom

=====

Entry 9:
A plane-wave DFT calculation with PBEsol was carried out for a relaxed structure of SrMn2As.

Structure (POSCAR):
```
SrMn2As
1.0
-0.0265 2.5643 2.0885
-1.9905 -1.6803 2.0379
5.6529 -2.6554 3.3320
As Mn Sr
1 2 1
direct
0.5000 0.5000 0.8307
0.0000 0.0000 0.9800
0.5000 0.5000 0.1792
0.0000 0.0000 0.5101
```

magnetization	6.77	μB per cell
VASP energy	-6.451	eV per atom
formation energy from the elements	0.1658	eV per atom

=====

Entry 10:
A plane-wave DFT calculation with PBEsol was carried out for a relaxed structure of SrMnAs2.

Structure (POSCAR):
```
SrMnAs2
1.0
-3.5143 -1.5965 -0.0361
-1.3291 -1.6682 -3.2173
0.9758 -6.8330 0.8241
As Mn Sr
2 1 1
direct
0.0214 0.0214 0.9357
0.8052 0.8052 0.5843
0.4162 0.4162 0.7515
0.2423 0.2423 0.2732
```

magnetization	2.71	μB per cell
VASP energy	-5.961	eV per atom
formation energy from the elements	-0.5070	eV per atom

=====

Entry 11:
A plane-wave DFT calculation with PBEsol was carried out for a relaxed structure of SrMnAs2.

Structure (POSCAR):
```
SrMnAs2
1.0
-0.3116 4.0319 -2.7888
-3.3551 3.4396 1.0213
1.4091 4.3474 1.8015
As Mn Sr
2 1 1
direct
0.0000 0.0000 0.0000
0.7500 0.7500 0.7500
0.5000 0.5000 0.5000
0.2500 0.2500 0.2500
```

magnetization	3.71	μB per cell
VASP energy	-5.248	eV per atom
formation energy from the elements	0.2057	eV per atom

=====

Entry 12:
A plane-wave DFT calculation with PBEsol was carried out for a relaxed structure of SrMnAs2.

Structure (POSCAR):
```
SrMnAs2
1.0
3.3846 0.0000 0.0000
0.0000 3.3846 0.0000
0.0000 0.0000 6.9235
As Mn Sr
2 1 1
direct
0.0000 0.0000 0.8104
0.0000 0.0000 0.1896
0.5000 0.5000 0.0000
0.5000 0.5000 0.5000
```

magnetization	3.05	μB per cell
VASP energy	-5.672	eV per atom
formation energy from the elements	-0.2188	eV per atom